Entry 1:
Crystalline SrCaMg30O32 at its relaxed geometry, computed with PBE.

Values from the calculation:
- Calculated density: 3.53 Mg/m³
- Spin magnetization: 0.000 μB per formula unit
- Formation energy (no corrections): -257.1 kJ per mole of atoms
- Space-group type: No. 123

Unit cell a=8.6398 b=8.6398 c=8.6360 alpha=90.00 beta=90.00 gamma=90.00
With the nearest neighbours (Å) after each atom.
Atoms (fractional coordinates):
Sr 0.0000 0.0000 0.0000  6 O 2.32-2.33
Ca 0.5000 0.5000 0.0000  6 O 2.24-2.27
Mg 0.0000 0.0000 0.5000  6 O 1.98-2.19
Mg 0.0000 0.2548 0.2557  6 O 2.11-2.21
Mg 0.0000 0.2548 0.7443  6 O 2.11-2.21
Mg 0.0000 0.5000 0.0000  6 O 2.00-2.21
Mg 0.0000 0.5000 0.5000  6 O 2.11-2.15
Mg 0.0000 0.7452 0.2557  6 O 2.11-2.21
Mg 0.0000 0.7452 0.7443  6 O 2.11-2.21
Mg 0.2475 0.5000 0.2536  6 O 2.13-2.19
Mg 0.2475 0.5000 0.7464  6 O 2.13-2.19
Mg 0.2503 0.2503 0.5000  6 O 2.16
Mg 0.2503 0.7497 0.5000  6 O 2.16
Mg 0.2519 0.2519 0.0000  6 O 2.15-2.18
Mg 0.2519 0.7481 0.0000  6 O 2.15-2.18
Mg 0.2548 0.0000 0.2557  6 O 2.11-2.21
Mg 0.2548 0.0000 0.7443  6 O 2.11-2.21
Mg 0.5000 0.0000 0.0000  6 O 2.00-2.21
Mg 0.5000 0.0000 0.5000  6 O 2.11-2.15
Mg 0.5000 0.2475 0.2536  6 O 2.13-2.19
Mg 0.5000 0.2475 0.7464  6 O 2.13-2.19
Mg 0.5000 0.5000 0.5000  6 O 2.05-2.17
Mg 0.5000 0.7525 0.2536  6 O 2.13-2.19
Mg 0.5000 0.7525 0.7464  6 O 2.13-2.19
Mg 0.7452 0.0000 0.2557  6 O 2.11-2.21
Mg 0.7452 0.0000 0.7443  6 O 2.11-2.21
Mg 0.7481 0.2519 0.0000  6 O 2.15-2.18
Mg 0.7481 0.7481 0.0000  6 O 2.15-2.18
Mg 0.7497 0.2503 0.5000  6 O 2.16
Mg 0.7497 0.7497 0.5000  6 O 2.16
Mg 0.7525 0.5000 0.2536  6 O 2.13-2.19
Mg 0.7525 0.5000 0.7464  6 O 2.13-2.19
O 0.0000 0.0000 0.2703  5 Mg 1.98-2.21
O 0.0000 0.0000 0.7297  5 Mg 1.98-2.21
O 0.0000 0.2533 0.5000  6 Mg 2.11-2.19
O 0.0000 0.2687 0.0000  5 Mg 2.00-2.21
O 0.0000 0.5000 0.2560  6 Mg 2.11-2.21
O 0.0000 0.5000 0.7440  6 Mg 2.11-2.21
O 0.0000 0.7313 0.0000  5 Mg 2.00-2.21
O 0.0000 0.7467 0.5000  6 Mg 2.11-2.19
O 0.2406 0.5000 0.0000  5 Mg 2.08-2.19, 1 Ca 2.24
O 0.2490 0.5000 0.5000  6 Mg 2.13-2.17
O 0.2499 0.2499 0.2499  6 Mg 2.16
O 0.2499 0.2499 0.7501  6 Mg 2.16
O 0.2499 0.7501 0.2499  6 Mg 2.16
O 0.2499 0.7501 0.7501  6 Mg 2.16
O 0.2533 0.0000 0.5000  6 Mg 2.11-2.19
O 0.2687 0.0000 0.0000  5 Mg 2.00-2.21
O 0.5000 0.0000 0.2560  6 Mg 2.11-2.21
O 0.5000 0.0000 0.7440  6 Mg 2.11-2.21
O 0.5000 0.2406 0.0000  5 Mg 2.08-2.19, 1 Ca 2.24
O 0.5000 0.2490 0.5000  6 Mg 2.13-2.17
O 0.5000 0.5000 0.2625  5 Mg 2.05-2.18, 1 Ca 2.27
O 0.5000 0.5000 0.7375  5 Mg 2.05-2.18, 1 Ca 2.27
O 0.5000 0.7510 0.5000  6 Mg 2.13-2.17
O 0.5000 0.7594 0.0000  5 Mg 2.08-2.19, 1 Ca 2.24
O 0.7313 0.0000 0.0000  5 Mg 2.00-2.21
O 0.7467 0.0000 0.5000  6 Mg 2.11-2.19
O 0.7501 0.2499 0.2499  6 Mg 2.16
O 0.7501 0.2499 0.7501  6 Mg 2.16
O 0.7501 0.7501 0.2499  6 Mg 2.16
O 0.7501 0.7501 0.7501  6 Mg 2.16
O 0.7510 0.5000 0.5000  6 Mg 2.13-2.17
O 0.7594 0.5000 0.0000  5 Mg 2.08-2.19, 1 Ca 2.24

=====

Entry 2:
Crystalline Ca2MgTaO6 at its relaxed geometry, computed with PBE.

Values from the calculation:
- Calculated density: 5.14 Mg/m³
- Spin magnetization: 1.105 μB per formula unit
- Formation energy (no corrections): -266.0 kJ per mole of atoms
- Space-group type: No. 14

Unit cell a=5.5150 b=5.6945 c=9.5294 alpha=90.00 beta=124.53 gamma=90.00
With the nearest neighbours (Å) after each atom.
Atoms (fractional coordinates):
Ca 0.2302 0.0530 0.2457  6 O 2.35-2.62
Ca 0.2302 0.4470 0.7457  6 O 2.35-2.62
Ca 0.7698 0.5530 0.2543  6 O 2.35-2.62
Ca 0.7698 0.9470 0.7543  6 O 2.35-2.62
Mg 0.0000 0.0000 0.5000  6 O 2.09-2.11
Mg 0.0000 0.5000 0.0000  6 O 2.09-2.11
Ta 0.5000 0.0000 0.0000  6 O 2.00
Ta 0.5000 0.5000 0.5000  6 O 2.00
O 0.1631 0.1999 0.9529  1 Ta 2.00, 1 Mg 2.09
O 0.1631 0.3001 0.4529  1 Ta 2.00, 1 Mg 2.09
O 0.2485 0.7150 0.9451  1 Ta 2.00, 1 Mg 2.11
O 0.2485 0.7850 0.4451  1 Ta 2.00, 1 Mg 2.11
O 0.3542 0.0330 0.7556  1 Ta 2.00, 1 Mg 2.09
O 0.3542 0.4670 0.2556  1 Ta 2.00, 1 Mg 2.09
O 0.6458 0.5330 0.7444  1 Ta 2.00, 1 Mg 2.09
O 0.6458 0.9670 0.2444  1 Ta 2.00, 1 Mg 2.09
O 0.7515 0.2150 0.5549  1 Ta 2.00, 1 Mg 2.11
O 0.7515 0.2851 0.0549  1 Ta 2.00, 1 Mg 2.11
O 0.8369 0.6999 0.5471  1 Ta 2.00, 1 Mg 2.09
O 0.8369 0.8001 0.0471  1 Ta 2.00, 1 Mg 2.09

=====

Entry 3:
Crystalline CaMg2TaO6 at its relaxed geometry, computed with PBE.

Values from the calculation:
- Calculated density: 4.00 Mg/m³
- Spin magnetization: 1.038 μB per formula unit
- Formation energy (no corrections): -241.2 kJ per mole of atoms
- Space-group type: No. 15

Unit cell a=7.4475 b=7.4475 c=6.3732 alpha=108.32 beta=108.32 gamma=100.14
With the nearest neighbours (Å) after each atom.
Atoms (fractional coordinates):
Ca 0.1128 0.8872 0.7500  6 O 2.49-2.55
Ca 0.8872 0.1128 0.2500  6 O 2.49-2.55
Mg 0.2961 0.4539 0.8469  5 O 1.96-2.09
Mg 0.4539 0.2961 0.3469  5 O 1.96-2.09
Mg 0.5461 0.7039 0.6531  5 O 1.96-2.09
Mg 0.7039 0.5461 0.1531  5 O 1.96-2.09
Ta 0.1779 0.8221 0.2500  4 O 1.87
Ta 0.8221 0.1779 0.7500  4 O 1.87
O 0.0522 0.1969 0.6882  1 Ta 1.87
O 0.1462 0.6450 0.9476  1 Ta 1.87, 1 Mg 2.03
O 0.1969 0.0522 0.1882  1 Ta 1.87
O 0.3280 0.4424 0.5502  3 Mg 1.96-2.07
O 0.3550 0.8538 0.5524  1 Ta 1.87, 1 Mg 2.03
O 0.4424 0.3280 0.0502  3 Mg 1.96-2.07
O 0.5576 0.6720 0.9498  3 Mg 1.96-2.07
O 0.6450 0.1462 0.4476  1 Ta 1.87, 1 Mg 2.03
O 0.6720 0.5576 0.4498  3 Mg 1.96-2.07
O 0.8031 0.9478 0.8118  1 Ta 1.87
O 0.8538 0.3550 0.0524  1 Ta 1.87, 1 Mg 2.03
O 0.9478 0.8031 0.3118  1 Ta 1.87